4
Lattice="3.440 0.000 0.000 0.000 3.440 0.000 0.000 0.000 7.783" Properties=species:S:1:pos:R:3 comment="Dy2CdOs, optimized geometry, DFT PBE-GGA" delta_e_f_kj_per_mol_fu=-121.1 pbc="T T T"
Os 0.000 0.000 0.000
Dy 1.720 1.720 1.652
Dy 1.720 1.720 6.131
Cd 0.000 0.000 3.891

---

3
Lattice="0.000 3.519 3.519 3.519 0.000 3.519 3.519 3.519 0.000" Properties=species:S:1:pos:R:3 comment="DyPaCd, optimized geometry, DFT PBE-GGA" polymorph_energy_mev_per_atom=0 delta_e_f_kj_per_mol_fu=260.6 pbc="T T T"
Dy 0.000 0.000 0.000
Cd 1.759 1.759 1.759
Pa 5.278 5.278 5.278